No. 1
An optimized crystal structure of Ti2SbRh8. Source: Alexandria, functional PBE-GGA.

## Properties
crystal system	monoclinic
E_form (uncorrected)	-0.4530	eV/atom
magnetic moment	0.00	μB per formula unit
raw total energy	-7.610	eV per atom

abc: 7.256 7.256 6.150
angles: 104.65 104.65 31.80
Sites, in units of the cell vectors:
Ti1 0.221 0.221 0.159
Ti2 0.779 0.779 0.841
Sb1 0.500 0.500 0.500
Rh1 0.043 0.043 0.223
Rh2 0.152 0.152 0.714
Rh3 0.321 0.321 0.587
Rh4 0.403 0.403 0.034
Rh5 0.597 0.597 0.966
Rh6 0.679 0.679 0.413
Rh7 0.848 0.848 0.286
Rh8 0.957 0.957 0.777

---

No. 2
An optimized crystal structure of Ti2SbRh5. Source: Alexandria, functional PBE-GGA.

## Properties
crystal system	orthorhombic
E_form (uncorrected)	-0.7445	eV/atom
magnetic moment	0.00	μB per formula unit
raw total energy	-7.828	eV per atom

abc: 5.530 10.847 4.038
angles: 90.00 90.00 90.00
Sites, in units of the cell vectors:
Ti1 0.175 0.146 0.000
Ti2 0.325 0.646 0.000
Ti3 0.675 0.354 0.000
Ti4 0.825 0.854 0.000
Sb1 0.000 0.500 0.500
Sb2 0.500 0.000 0.500
Rh1 0.000 0.000 0.500
Rh2 0.058 0.747 0.500
Rh3 0.210 0.384 0.000
Rh4 0.290 0.884 0.000
Rh5 0.442 0.247 0.500
Rh6 0.500 0.500 0.500
Rh7 0.558 0.753 0.500
Rh8 0.710 0.116 0.000
Rh9 0.790 0.616 0.000
Rh10 0.942 0.253 0.500